Record 1
Here is a geometry-optimized Cu4Sn structure from the Alexandria database. Energies are from PBE-GGA.

Lattice parameters (Å, degrees): 2.931 4.189 6.729 108.74 109.49 88.81
Fractional positions:
Cu (0.186, 0.219, 0.943)
Cu (0.814, 0.781, 0.057)
Cu (0.923, 0.398, 0.289)
Cu (0.077, 0.602, 0.711)
Sn (0.500, 0.000, 0.500)

SG: P-1
Distance to the lowest polymorph of the same formula (meV per atom): 0
VASP energy (eV/atom): -3.944

---

Record 2
Here is a geometry-optimized CaMg2Sc structure from the Alexandria database. Energies are from PBE-GGA.

Lattice parameters (Å, degrees): 3.750 3.750 7.644 90.00 90.00 90.00
Fractional positions:
Sc (0.500, 0.500, 0.000)
Mg (0.000, 0.000, 0.219)
Mg (0.000, 0.000, 0.781)
Ca (0.500, 0.500, 0.500)

SG: P4/mmm
VASP energy (eV/atom): -2.921

---

Record 3
Here is a geometry-optimized RbMgAgHg2 structure from the Alexandria database. Energies are from PBE-GGA.

Lattice parameters (Å, degrees): 5.572 5.572 5.270 90.00 90.00 90.00
Fractional positions:
Hg (0.500, 0.000, 0.000)
Hg (0.000, 0.500, 0.000)
Rb (0.500, 0.500, 0.500)
Mg (0.000, 0.000, 0.500)
Ag (0.000, 0.000, 0.000)

SG: P4/mmm
Distance to the lowest polymorph of the same formula (meV per atom): 4
VASP energy (eV/atom): -1.215

---

Record 4
Here is a geometry-optimized CaAl2InAu4 structure from the Alexandria database. Energies are from PBE-GGA.

Lattice parameters (Å, degrees): 4.360 4.360 10.486 78.00 78.00 60.00
Fractional positions:
Au (0.884, 0.884, 0.349)
Au (0.116, 0.116, 0.651)
Au (0.605, 0.605, 0.186)
Au (0.395, 0.395, 0.814)
Al (0.750, 0.750, 0.750)
Al (0.250, 0.250, 0.250)
In (0.500, 0.500, 0.500)
Ca (0.000, 0.000, 0.000)

SG: R-3m
VASP energy (eV/atom): -3.603